1.
VASP calculation (GGA-PBE) on a relaxed structure of SbI2OF.

Cell: 5.0938 5.0938 4.5608 Å, 90.00 90.00 90.00°
Element x y z (fractional)
Sb: 0.0000 0.0000 0.0000
I: 0.0000 0.5000 0.5000
I: 0.5000 0.0000 0.5000
O: 0.0000 0.0000 0.5000
F: 0.5000 0.5000 0.0000

Summary:
Calculated volume in Å³ per cell: 118
Formation energy from raw total energies in eV/atom: 0.05
Calculated density in Mg/m³: 5.76

=====

2.
VASP calculation (GGA-PBE) on a relaxed structure of SbIO2F.

Cell: 4.5490 4.5490 4.1161 Å, 90.00 90.00 90.00°
Element x y z (fractional)
Sb: 0.0000 0.0000 0.0000
I: 0.5000 0.5000 0.0000
O: 0.0000 0.5000 0.5000
O: 0.5000 0.0000 0.5000
F: 0.5000 0.5000 0.5000

Summary:
Calculated volume in Å³ per cell: 85
Formation energy from raw total energies in eV/atom: 0.55
Calculated density in Mg/m³: 5.84

=====

3.
VASP calculation (GGA-PBE) on a relaxed structure of SbI2OF.

Cell: 5.3197 5.3197 3.9555 Å, 90.00 90.00 90.00°
Element x y z (fractional)
Sb: 0.0000 0.0000 0.0000
I: 0.0000 0.5000 0.5000
I: 0.5000 0.0000 0.5000
O: 0.5000 0.5000 0.0000
F: 0.5000 0.5000 0.5000

Summary:
Calculated volume in Å³ per cell: 112
Formation energy from raw total energies in eV/atom: 0.54
Calculated density in Mg/m³: 6.09

=====

Question: Among the records above, which one has the highest calculated density?
Answer: number 3